# TaTi3Bi

Crystalline TaTi3Bi at its relaxed geometry (PBE, Alexandria via LeMat-Bulk).

Computed properties:
Its symmetry is No. 221. The value obtained for the total energy is -7.05 eV per atom. The calculation puts the energy above the most stable polymorph in this dataset at 0.000 eV per atom. The formation energy comes out at 838 meV/atom.

a b c (Å): 4.8768 4.8768 4.8768
angles (deg): 90.00 90.00 90.00
Atoms (fractional coordinates):
Ta: 0.0000 0.0000 0.0000
Ti: 0.0000 0.0000 0.5000
Ti: 0.0000 0.5000 0.0000
Ti: 0.5000 0.0000 0.0000
Bi: 0.5000 0.5000 0.5000